# 1
La2NdRh2: relaxed, PBE-GGA.

Fermi-level density of states (states/eV/f.u.): 2.169
Crystal system: monoclinic
Energy (Ry/atom): -0.4683
Symmetry: C2/m
Formation energy (eV per atom): -0.51
E above lowest polymorph (eV per atom): 0.099

a = 4.762 Å, b = 4.762 Å, c = 7.143 Å
α = 109.48°, β = 109.48°, γ = 60.09°
Sites, in units of the cell vectors:
La: 0.219 0.219 0.156
La: 0.781 0.781 0.844
Nd: 0.000 0.000 0.500
Rh: 0.389 0.389 0.666
Rh: 0.611 0.611 0.334

***

# 2
Tb2PF3: relaxed, PBE-GGA.

Crystal system: monoclinic
Energy (Ry/atom): -0.4788
Symmetry: C2/m
Raw formation energy (eV per atom): -3.134

a = 7.489 Å, b = 7.489 Å, c = 7.725 Å
α = 116.55°, β = 116.55°, γ = 29.59°
Sites, in units of the cell vectors:
Tb: 0.019 0.019 0.229
Tb: 0.287 0.287 0.282
Tb: 0.713 0.713 0.718
Tb: 0.981 0.981 0.771
P: 0.369 0.369 0.952
P: 0.631 0.631 0.048
F: 0.109 0.109 0.680
F: 0.190 0.190 0.449
F: 0.440 0.440 0.588
F: 0.560 0.560 0.412
F: 0.810 0.810 0.551
F: 0.891 0.891 0.320

***

# 3
Ca2Mo2Ru: relaxed, PBE-GGA.

Fermi-level density of states (states/eV/f.u.): 5.960
Crystal system: tetragonal
Energy (Ry/atom): -0.4247
Symmetry: I4/mmm
Formation energy (eV per atom): 1.21
E above lowest polymorph (eV per atom): 0.470

a = 5.498 Å, b = 5.498 Å, c = 5.498 Å
α = 114.26°, β = 114.26°, γ = 100.27°
Sites, in units of the cell vectors:
Ca: 0.250 0.750 0.500
Ca: 0.750 0.250 0.500
Mo: 0.151 0.151 0.000
Mo: 0.849 0.849 0.000
Ru: 0.500 0.500 0.000

***

# 4
CsTi3AlO8: relaxed, PBE-GGA.

Fermi-level density of states (states/eV/f.u.): 0.000
Crystal system: triclinic
Energy (Ry/atom): -0.5937
Symmetry: P1
Raw formation energy (eV per atom): -2.851

a = 3.031 Å, b = 7.363 Å, c = 7.382 Å
α = 87.81°, β = 78.25°, γ = 78.14°
Sites, in units of the cell vectors:
Cs: 0.000 0.000 0.000
Ti: 0.135 0.200 0.514
Ti: 0.689 0.497 0.166
Ti: 0.888 0.817 0.492
Al: 0.339 0.514 0.812
O: 0.040 0.634 0.289
O: 0.297 0.369 0.042
O: 0.335 0.702 0.630
O: 0.342 0.948 0.368
O: 0.659 0.057 0.634
O: 0.669 0.296 0.367
O: 0.713 0.634 0.942
O: 0.961 0.379 0.703

***

# 5
Tb8GeTe3S3: relaxed, PBE-GGA.

Fermi-level density of states (states/eV/f.u.): 5.958
Crystal system: trigonal
Energy (Ry/atom): -0.4188
Symmetry: R-3m
Raw formation energy (eV per atom): -1.467

a = 8.419 Å, b = 8.419 Å, c = 8.419 Å
α = 57.88°, β = 57.88°, γ = 57.88°
Sites, in units of the cell vectors:
Tb: 0.230 0.744 0.744
Tb: 0.234 0.234 0.234
Tb: 0.256 0.256 0.770
Tb: 0.256 0.770 0.256
Tb: 0.744 0.230 0.744
Tb: 0.744 0.744 0.230
Tb: 0.766 0.766 0.766
Tb: 0.770 0.256 0.256
Ge: 0.500 0.500 0.500
Te: 0.000 0.500 0.500
Te: 0.500 0.000 0.500
Te: 0.500 0.500 0.000
S: 0.000 0.000 0.500
S: 0.000 0.500 0.000
S: 0.500 0.000 0.000

***

# 6
PmTm2Al9: relaxed, PBE-GGA.

Fermi-level density of states (states/eV/f.u.): 4.986
Crystal system: trigonal
Energy (Ry/atom): -0.3178
Symmetry: R-3m
Formation energy (eV per atom): -0.38

a = 9.314 Å, b = 9.314 Å, c = 9.314 Å
α = 34.77°, β = 34.77°, γ = 34.77°
Sites, in units of the cell vectors:
Pm: 0.000 0.000 0.000
Tm: 0.142 0.142 0.142
Tm: 0.858 0.858 0.858
Al: 0.077 0.588 0.588
Al: 0.336 0.336 0.336
Al: 0.412 0.412 0.923
Al: 0.412 0.923 0.412
Al: 0.500 0.500 0.500
Al: 0.588 0.077 0.588
Al: 0.588 0.588 0.077
Al: 0.664 0.664 0.664
Al: 0.923 0.412 0.412

***

# 7
NdU2Se5: relaxed, PBE-GGA.

Fermi-level density of states (states/eV/f.u.): 14.296
Crystal system: orthorhombic
Energy (Ry/atom): -0.5091
Symmetry: Pnma
Raw formation energy (eV per atom): -1.331

a = 12.551 Å, b = 8.271 Å, c = 7.812 Å
α = 90.00°, β = 90.00°, γ = 90.00°
Sites, in units of the cell vectors:
Nd: 0.006 0.250 0.085
Nd: 0.494 0.750 0.585
Nd: 0.506 0.250 0.415
Nd: 0.994 0.750 0.915
U: 0.182 0.501 0.509
U: 0.182 0.999 0.509
U: 0.318 0.001 0.009
U: 0.318 0.499 0.009
U: 0.682 0.501 0.991
U: 0.682 0.999 0.991
U: 0.818 0.001 0.491
U: 0.818 0.499 0.491
Se: 0.000 0.250 0.473
Se: 0.000 0.750 0.527
Se: 0.109 0.547 0.162
Se: 0.109 0.953 0.162
Se: 0.184 0.250 0.820
Se: 0.218 0.750 0.790
Se: 0.282 0.250 0.290
Se: 0.316 0.750 0.320
Se: 0.391 0.047 0.662
Se: 0.391 0.453 0.662
Se: 0.500 0.250 0.027
Se: 0.500 0.750 0.973
Se: 0.609 0.547 0.338
Se: 0.609 0.953 0.338
Se: 0.684 0.250 0.680
Se: 0.718 0.750 0.710
Se: 0.782 0.250 0.210
Se: 0.816 0.750 0.180
Se: 0.891 0.047 0.838
Se: 0.891 0.453 0.838

***

# 8
YReSi: relaxed, PBE-GGA.

Fermi-level density of states (states/eV/f.u.): 6.422
Crystal system: cubic
Energy (Ry/atom): -0.5014
Symmetry: F-43m
Raw formation energy (eV per atom): 1.290

a = 4.605 Å, b = 4.605 Å, c = 4.605 Å
α = 60.00°, β = 60.00°, γ = 60.00°
Sites, in units of the cell vectors:
Y: 0.000 0.000 0.000
Re: 0.750 0.750 0.750
Si: 0.250 0.250 0.250